1.
The following is a DFT calculation (GGA-PBE) of a geometry-optimized NdSBr structure.

a = 6.9555 Å, b = 7.1072 Å, c = 13.8883 Å
α = 90.00°, β = 90.00°, γ = 90.00°
With the nearest neighbours (Å) after each atom.
Element x y z (fractional)
Nd 0.7423 0.0329 0.9078  4 S 2.82-2.83, 2 Br 3.05-3.09
Nd 0.2577 0.9671 0.0922  4 S 2.82-2.83, 2 Br 3.05-3.09
Nd 0.7577 0.5329 0.0922  4 S 2.82-2.83, 2 Br 3.05-3.09
Nd 0.2577 0.4671 0.4078  4 S 2.82-2.83, 2 Br 3.05-3.09
Nd 0.2423 0.4671 0.9078  4 S 2.82-2.83, 2 Br 3.05-3.09
Nd 0.7423 0.5329 0.5922  4 S 2.82-2.83, 2 Br 3.05-3.09
Nd 0.2423 0.9671 0.5922  4 S 2.82-2.83, 2 Br 3.05-3.09
Nd 0.7577 0.0329 0.4078  4 S 2.82-2.83, 2 Br 3.05-3.09
S 0.0012 0.2583 0.5234  4 Nd 2.82-2.83
S 0.9988 0.7417 0.4766  4 Nd 2.82-2.83
S 0.4988 0.7583 0.4766  4 Nd 2.82-2.83
S 0.9988 0.2417 0.0234  4 Nd 2.82-2.83
S 0.5012 0.2417 0.5234  4 Nd 2.82-2.83
S 0.0012 0.7583 0.9766  4 Nd 2.82-2.83
S 0.5012 0.7417 0.9766  4 Nd 2.82-2.83
S 0.4988 0.2583 0.0234  4 Nd 2.82-2.83
Br 0.8525 0.3859 0.7909  3 Nd 3.05-3.21
Br 0.1475 0.6141 0.2091  3 Nd 3.05-3.21
Br 0.6475 0.8859 0.2091  3 Nd 3.05-3.21
Br 0.1475 0.1141 0.2909  3 Nd 3.05-3.21
Br 0.3525 0.1141 0.7909  3 Nd 3.05-3.21
Br 0.8525 0.8859 0.7091  3 Nd 3.05-3.21
Br 0.3525 0.6141 0.7091  3 Nd 3.05-3.21
Br 0.6475 0.3859 0.2909  3 Nd 3.05-3.21

Results
- E_form (uncorrected): -2.00 eV per atom
- Total DFT energy (no corrections): -0.203 hartree per atom

---

2.
The following is a DFT calculation (GGA-PBE) of a geometry-optimized AcMgPPt6 structure.

a = 6.9422 Å, b = 9.1076 Å, c = 8.0787 Å
α = 124.31°, β = 115.45°, γ = 90.00°
With the nearest neighbours (Å) after each atom.
Element x y z (fractional)
Ac 0.8296 0.5796 0.6593  6 Pt 2.96-3.08
Ac 0.1704 0.4204 0.3407  6 Pt 2.96-3.08
Mg 0.5000 0.0000 0.5000  6 Pt 2.52-2.60
Mg 0.0000 0.0000 0.5000  6 Pt 2.52-2.60
P 0.5000 0.5000 0.0000  6 Pt 2.28-2.38
P 0.5000 0.0000 0.0000  6 Pt 2.28-2.38
Pt 0.4404 0.6904 0.8808  2 P 2.38
Pt 0.9103 0.1603 0.8207  2 Mg 2.52, 4 Pt 2.76
Pt 0.8821 0.1111 0.2476  1 P 2.28
Pt 0.3655 0.6365 0.2476  1 P 2.28
Pt 0.3655 0.1111 0.2476  1 P 2.28
Pt 0.8821 0.6365 0.2476  1 P 2.28
Pt 0.5596 0.3096 0.1192  2 P 2.38
Pt 0.0897 0.8397 0.1793  2 Mg 2.52, 4 Pt 2.76
Pt 0.1179 0.8889 0.7524  1 P 2.28
Pt 0.6345 0.3635 0.7524  1 P 2.28
Pt 0.6345 0.8889 0.7524  1 P 2.28
Pt 0.1179 0.3635 0.7524  1 P 2.28

Results
- ΔE_f: -4.43 eV per formula unit
- Total DFT energy (no corrections): -0.211 hartree per atom

---

3.
The following is a DFT calculation (GGA-PBE) of a geometry-optimized LiCuOs2 structure.

a = 4.6439 Å, b = 5.2196 Å, c = 2.6128 Å
α = 76.45°, β = 87.95°, γ = 115.84°
With the nearest neighbours (Å) after each atom.
Element x y z (fractional)
Cu 0.0000 0.5000 0.5000  2 Cu 2.61, 4 Li 2.62-2.70, 4 Os 2.63
Li 0.5000 0.5000 0.0000  2 Li 2.61, 4 Cu 2.62-2.70, 4 Os 2.63
Os 0.0000 0.0000 0.0000  6 Os 2.61-2.70, 2 Li 2.63, 2 Cu 2.63
Os 0.5000 0.0000 0.5000  6 Os 2.61-2.70, 2 Cu 2.63, 2 Li 2.63

Results
- Relative energy among the computed polymorphs: 126 meV/atom
- ΔE_f: 1.27 eV per formula unit
- Total DFT energy (no corrections): -0.250 hartree per atom